{
  "formula": "CrTcAg",
  "functional": "PBE",
  "state": "optimized geometry",
  "cell": [[-4.0424, -0.7447, 0.7505], [-1.1140, -2.4678, 3.1825], [-1.8357, 1.6433, 3.3747]],
  "species": ["Cr", "Tc", "Ag"],
  "frac_coords": [[0.7500, 0.7500, 0.7500], [0.0000, 0.0000, 0.0000], [0.5000, 0.5000, 0.5000]],
  "space_group": "F-43m",
  "ef_ev_per_fu": 2.75,
  "magnetic_moment_mub_per_fu": 0.877,
  "dos_at_fermi_per_ev_cell": 2.5,
  "de_polymorph_mev_per_atom": 513
}



{
  "formula": "CrTcAg4",
  "functional": "PBE",
  "state": "optimized geometry",
  "cell": [[-3.7057, -2.3864, 3.0753], [-5.0221, -0.5967, -1.8184], [-1.8261, -4.8858, -1.2955]],
  "species": ["Cr", "Tc", "Ag", "Ag", "Ag", "Ag"],
  "frac_coords": [[0.7500, 0.7500, 0.7500], [0.0000, 0.0000, 0.0000], [0.3750, 0.8749, 0.3750], [0.3750, 0.3750, 0.3750], [0.8749, 0.3750, 0.3750], [0.3750, 0.3750, 0.8749]],
  "space_group": "F-43m",
  "ef_ev_per_fu": 4.04,
  "magnetic_moment_mub_per_fu": 1.303,
  "dos_at_fermi_per_ev_cell": 3.0
}



{
  "formula": "Cr2TcAg",
  "functional": "PBE",
  "state": "optimized geometry",
  "cell": [[4.7097, -0.0221, 0.0234], [3.9129, 2.6213, 0.0234], [0.7755, 0.2338, 4.8216]],
  "species": ["Cr", "Cr", "Tc", "Ag"],
  "frac_coords": [[0.4991, 0.4991, 0.5786], [0.0009, 0.0009, 0.9214], [0.7500, 0.7500, 0.7500], [0.2500, 0.2500, 0.2500]],
  "space_group": "C2/m",
  "ef_ev_per_fu": 2.13,
  "magnetic_moment_mub_per_fu": 0.000,
  "dos_at_fermi_per_ev_cell": 4.0
}



{
  "formula": "Cr2TcAg",
  "functional": "PBE",
  "state": "optimized geometry",
  "cell": [[-5.5000, -3.7255, -1.4561], [2.2448, -4.9239, 4.1190], [-2.9220, -3.2103, 3.3691]],
  "species": ["Ag", "Tc", "Cr", "Tc", "Ag", "Cr", "Cr", "Cr"],
  "frac_coords": [[0.7500, 0.2500, 0.5000], [0.5000, 0.5000, 0.0000], [0.8750, 0.8384, 0.7500], [0.2500, 0.7500, 0.5000], [0.0000, 0.0000, 0.0000], [0.1616, 0.6250, 0.2500], [0.3750, 0.4116, 0.7500], [0.5884, 0.1250, 0.2500]],
  "space_group": "I-42d",
  "ef_ev_per_fu": 3.82,
  "magnetic_moment_mub_per_fu": 0.000,
  "dos_at_fermi_per_ev_cell": 9.1
}



{
  "formula": "Cr2TcAg",
  "functional": "PBE",
  "state": "optimized geometry",
  "cell": [[-2.5281, 3.5961, -1.5434], [-2.7729, -2.8560, 2.4206], [0.5637, 1.3642, 2.2552]],
  "species": ["Cr", "Cr", "Ag", "Tc"],
  "frac_coords": [[0.5000, 0.5000, 0.0000], [0.0000, 0.0000, 0.0000], [0.0000, 0.5000, 0.5000], [0.5000, 0.0000, 0.5000]],
  "space_group": "Cmmm",
  "ef_ev_per_fu": 2.23,
  "magnetic_moment_mub_per_fu": 0.000,
  "dos_at_fermi_per_ev_cell": 4.3
}



{
  "formula": "Cr2TcAg",
  "functional": "PBE",
  "state": "optimized geometry",
  "cell": [[4.7062, -0.0069, 0.0000], [1.5651, 4.4384, 0.0000], [-3.1357, -2.2157, 2.7216]],
  "species": ["Ag", "Cr", "Tc", "Cr"],
  "frac_coords": [[0.7500, 0.2500, 0.5000], [0.2500, 0.7500, 0.5000], [0.5000, 0.5000, 0.0000], [0.0000, 0.0000, 0.0000]],
  "space_group": "I-4m2",
  "ef_ev_per_fu": 2.25,
  "magnetic_moment_mub_per_fu": 0.741,
  "dos_at_fermi_per_ev_cell": 5.3
}



{
  "formula": "Cr2TcAg",
  "functional": "PBE",
  "state": "optimized geometry",
  "cell": [[-0.2556, -3.9596, 1.7987], [1.9871, -3.3841, -1.8916], [3.5154, -1.7791, 1.8590]],
  "species": ["Tc", "Cr", "Ag", "Cr"],
  "frac_coords": [[0.2500, 0.2500, 0.2500], [0.0000, 0.0000, 0.0000], [0.5000, 0.5000, 0.5000], [0.7500, 0.7500, 0.7500]],
  "space_group": "F-43m",
  "ef_ev_per_fu": 2.37,
  "magnetic_moment_mub_per_fu": 1.970,
  "dos_at_fermi_per_ev_cell": 4.3
}



{
  "formula": "CrTcAg",
  "functional": "PBE",
  "state": "optimized geometry",
  "cell": [[5.7401, 0.0162, 0.0000], [4.2313, 3.8789, 0.0000], [-4.9857, -1.9475, 2.0734]],
  "species": ["Tc", "Ag", "Cr"],
  "frac_coords": [[0.6925, 0.6925, 0.0000], [0.9951, 0.9951, 0.0000], [0.3124, 0.3124, 0.0000]],
  "space_group": "I4mm",
  "ef_ev_per_fu": 1.21,
  "magnetic_moment_mub_per_fu": 0.954,
  "dos_at_fermi_per_ev_cell": 2.4,
  "de_polymorph_mev_per_atom": 0
}



{
  "formula": "Cr2TcAg",
  "functional": "PBE",
  "state": "optimized geometry",
  "cell": [[-1.9981, 0.4363, 2.3104], [1.8501, -1.5795, 1.8982], [2.8145, 5.0709, 1.4763]],
  "species": ["Cr", "Tc", "Cr", "Ag"],
  "frac_coords": [[0.5000, 0.5000, 0.2386], [0.0000, 0.0000, 0.4480], [0.0000, 0.0000, 0.0514], [0.5000, 0.5000, 0.7619]],
  "space_group": "P4mm",
  "ef_ev_per_fu": 1.68,
  "magnetic_moment_mub_per_fu": 0.000,
  "dos_at_fermi_per_ev_cell": 3.7
}



{
  "formula": "CrTcAg3",
  "functional": "PBE",
  "state": "optimized geometry",
  "cell": [[5.0734, 0.0000, 0.0000], [0.0000, 5.0734, 0.0000], [0.0000, 0.0000, 5.0734]],
  "species": ["Cr", "Tc", "Ag", "Ag", "Ag"],
  "frac_coords": [[0.5000, 0.5000, 0.5000], [0.0000, 0.0000, 0.0000], [0.5000, 0.0000, 0.0000], [0.0000, 0.5000, 0.0000], [0.0000, 0.0000, 0.5000]],
  "space_group": "Pm-3m",
  "ef_ev_per_fu": 8.21,
  "magnetic_moment_mub_per_fu": 1.956,
  "dos_at_fermi_per_ev_cell": 5.9,
  "de_polymorph_mev_per_atom": 0
}



{
  "formula": "Cr2TcAg",
  "functional": "PBE",
  "state": "optimized geometry",
  "cell": [[9.1069, -0.0041, -0.0024], [8.7080, 2.6660, -0.0024], [8.7080, 1.3011, 2.3270]],
  "species": ["Cr", "Tc", "Cr", "Ag"],
  "frac_coords": [[0.5056, 0.5056, 0.5056], [0.2500, 0.2500, 0.2500], [0.9944, 0.9944, 0.9944], [0.7500, 0.7500, 0.7500]],
  "space_group": "R-3m",
  "ef_ev_per_fu": 1.91,
  "magnetic_moment_mub_per_fu": 0.682,
  "dos_at_fermi_per_ev_cell": 5.4
}



{
  "formula": "Cr2TcAg",
  "functional": "PBE",
  "state": "optimized geometry",
  "cell": [[-6.2989, -3.7327, 4.9217], [-4.1456, -4.1534, 6.5876], [-5.5023, -1.7572, 6.6686]],
  "species": ["Cr", "Tc", "Ag", "Cr"],
  "frac_coords": [[0.2555, 0.2555, 0.2555], [0.5099, 0.5099, 0.5099], [0.7467, 0.7467, 0.7467], [0.9879, 0.9879, 0.9879]],
  "space_group": "R3m",
  "ef_ev_per_fu": 1.68,
  "magnetic_moment_mub_per_fu": 0.598,
  "dos_at_fermi_per_ev_cell": 4.2
}



{
  "formula": "CrTcAg",
  "functional": "PBE",
  "state": "optimized geometry",
  "cell": [[4.7713, -0.0063, -0.0002], [2.3064, 4.1768, 0.0002], [-3.0073, -2.9874, 2.1902]],
  "species": ["Ag", "Cr", "Tc"],
  "frac_coords": [[0.9994, 0.9994, 0.0000], [0.3312, 0.3312, 0.0000], [0.6694, 0.6694, 0.0000]],
  "space_group": "Imm2",
  "ef_ev_per_fu": 1.68,
  "magnetic_moment_mub_per_fu": 0.000,
  "dos_at_fermi_per_ev_cell": 2.6,
  "de_polymorph_mev_per_atom": 157
}



{
  "formula": "Cr2TcAg",
  "functional": "PBE",
  "state": "optimized geometry",
  "cell": [[-0.6630, 2.3828, -0.8844], [-1.5121, -1.8667, -1.0624], [-5.6878, 0.8607, 6.5832]],
  "species": ["Tc", "Cr", "Ag", "Cr"],
  "frac_coords": [[0.0000, 0.0000, 0.4721], [0.0000, 0.0000, 0.0314], [0.5000, 0.5000, 0.7594], [0.5000, 0.5000, 0.2372]],
  "space_group": "Cmm2",
  "ef_ev_per_fu": 1.36,
  "magnetic_moment_mub_per_fu": 0.000,
  "dos_at_fermi_per_ev_cell": 3.1
}



{
  "formula": "Cr2TcAg",
  "functional": "PBE",
  "state": "optimized geometry",
  "cell": [[2.6316, -0.0056, 0.0000], [-0.8977, 2.4738, 0.0000], [0.0000, 0.0000, 8.6924]],
  "species": ["Tc", "Cr", "Ag", "Cr"],
  "frac_coords": [[0.5000, 0.5000, 0.2500], [0.0000, 0.0000, 0.4805], [0.5000, 0.5000, 0.7500], [0.0000, 0.0000, 0.0195]],
  "space_group": "Cmmm",
  "ef_ev_per_fu": 1.69,
  "magnetic_moment_mub_per_fu": 0.000,
  "dos_at_fermi_per_ev_cell": 4.5
}



Calculated volume, 17.2, 18.3, 15.0, 15.4, 13.8, 14.2, 14.6, 15.3, 14.2, 26.1, 14.2, 14.3, 14.6, 14.0, 14.1 Å³/atom (same order as the records).
Calculated uncorrected energy, -0.2461, -0.1675, -0.2787, -0.2632, -0.2778, -0.2775, -0.2764, -0.2649, -0.2828, -0.1494, -0.2807, -0.2828, -0.2592, -0.2857, -0.2827 Ha/atom (same order as the records).